Sm3Ho2Te8, optimized geometry, DFT PBE; Fermi-level density of states = 6.73 states/eV per cell; formation energy from raw total energies = -1.2449 eV/atom; space-group type = C2/m, No. 12; magnetic moment = 0.00 μB/cell
1.0
7.572 0.000 0.281
0.000 8.787 0.000
-2.750 -4.394 7.207
Te Sm Ho
8 3 2
direct
0.920 0.124 0.248 Te
0.110 0.382 0.764 Te
0.585 0.627 0.750 Te
0.415 0.876 0.250 Te
0.585 0.124 0.750 Te
0.080 0.876 0.752 Te
0.415 0.373 0.250 Te
0.890 0.618 0.236 Te
0.000 0.742 0.000 Sm
0.500 0.000 0.000 Sm
0.000 0.258 0.000 Sm
0.332 0.250 0.500 Ho
0.668 0.750 0.500 Ho

SmHo3Te, optimized geometry, DFT PBE; Fermi-level density of states = 26.00 states/eV per cell; formation energy from raw total energies = -0.3729 eV/atom; space-group type = P2_1/c, No. 14; magnetic moment = 0.00 μB/cell
1.0
8.807 0.000 0.000
0.000 8.598 -1.391
0.000 -4.537 8.764
Ho Sm Te
12 4 4
direct
0.560 0.775 0.437 Ho
0.824 0.399 0.415 Ho
0.676 0.399 0.915 Ho
0.940 0.775 0.937 Ho
0.384 0.081 0.820 Ho
0.884 0.919 0.680 Ho
0.440 0.225 0.563 Ho
0.060 0.225 0.063 Ho
0.616 0.919 0.180 Ho
0.176 0.601 0.585 Ho
0.116 0.081 0.320 Ho
0.324 0.601 0.085 Ho
0.071 0.334 0.765 Sm
0.429 0.334 0.265 Sm
0.571 0.666 0.735 Sm
0.929 0.666 0.235 Sm
0.208 0.881 0.484 Te
0.792 0.119 0.516 Te
0.292 0.881 0.984 Te
0.708 0.119 0.016 Te

SmHoTe, optimized geometry, DFT PBE; Fermi-level density of states = 13.61 states/eV per cell; formation energy from raw total energies = -0.7496 eV/atom; space-group type = C2/m, No. 12; polymorph energy (0 for the lowest one) = 0.027 eV per atom; magnetic moment = 0.00 μB/cell
1.0
-1.567 0.710 -3.638
-10.145 0.898 4.544
2.403 7.776 2.709
Ho Sm Te
4 4 4
direct
0.749 0.335 0.498 Ho
0.191 0.079 0.382 Ho
0.809 0.921 0.618 Ho
0.251 0.665 0.502 Ho
0.385 0.162 0.770 Sm
0.024 0.352 0.047 Sm
0.615 0.838 0.230 Sm
0.976 0.648 0.953 Sm
0.619 0.541 0.238 Te
0.381 0.459 0.762 Te
0.427 0.841 0.853 Te
0.573 0.159 0.147 Te

SmHoTe3, optimized geometry, DFT PBE; Fermi-level density of states = 1.15 states/eV per cell; formation energy from raw total energies = -1.3904 eV/atom; space-group type = Pnma, No. 62; magnetic moment = 0.00 μB/cell
1.0
-1.850 1.031 3.812
-6.814 -4.111 -2.196
6.461 -14.475 7.050
Te Sm Ho
12 4 4
direct
0.250 0.883 0.936 Te
0.750 0.617 0.436 Te
0.750 0.996 0.607 Te
0.250 0.157 0.785 Te
0.750 0.117 0.064 Te
0.750 0.496 0.893 Te
0.750 0.843 0.215 Te
0.250 0.504 0.107 Te
0.750 0.343 0.285 Te
0.250 0.383 0.564 Te
0.250 0.657 0.715 Te
0.250 0.004 0.393 Te
0.750 0.866 0.799 Sm
0.250 0.134 0.201 Sm
0.750 0.366 0.701 Sm
0.250 0.634 0.299 Sm
0.750 0.728 0.041 Ho
0.250 0.272 0.959 Ho
0.250 0.772 0.541 Ho
0.750 0.228 0.459 Ho

Sm2HoTe, optimized geometry, DFT PBE; Fermi-level density of states = 4.19 states/eV per cell; formation energy from raw total energies = -0.4650 eV/atom; space-group type = P4/mmm, No. 123; polymorph energy (0 for the lowest one) = 0.105 eV per atom; magnetic moment = 0.00 μB/cell
1.0
3.836 0.000 0.000
0.000 5.564 0.000
0.000 0.000 5.564
Ho Te Sm
1 1 2
direct
0.500 0.500 0.500 Ho
0.500 0.000 0.000 Te
0.000 0.000 0.500 Sm
0.000 0.500 0.000 Sm

SmHoTe, optimized geometry, DFT PBE; Fermi-level density of states = 5.90 states/eV per cell; formation energy from raw total energies = -0.7660 eV/atom; space-group type = P2_1/m, No. 11; polymorph energy (0 for the lowest one) = 0.010 eV per atom; magnetic moment = 2.32 μB/cell
1.0
3.958 -0.420 0.513
0.725 6.932 0.083
3.066 -0.408 7.418
Sm Ho Te
2 2 2
direct
0.836 0.703 0.914 Sm
0.164 0.297 0.086 Sm
0.830 0.700 0.420 Ho
0.170 0.300 0.580 Ho
0.506 0.005 0.744 Te
0.494 0.995 0.256 Te

Sm2HoTe, optimized geometry, DFT PBE; Fermi-level density of states = 4.19 states/eV per cell; formation energy from raw total energies = -0.5211 eV/atom; space-group type = R-3m, No. 166; polymorph energy (0 for the lowest one) = 0.049 eV per atom; magnetic moment = 0.00 μB/cell
1.0
-3.244 0.018 -2.183
-2.425 -3.066 0.077
-6.961 3.184 6.868
Te Sm Ho
1 2 1
direct
0.000 0.000 0.000 Te
0.261 0.261 0.217 Sm
0.739 0.739 0.783 Sm
0.500 0.500 0.500 Ho

Sm2HoTe, optimized geometry, DFT PBE; Fermi-level density of states = 4.97 states/eV per cell; formation energy from raw total energies = -0.5700 eV/atom; space-group type = P4/mmm, No. 123; polymorph energy (0 for the lowest one) = 0.000 eV per atom; magnetic moment = 0.00 μB/cell
1.0
-0.345 -3.803 0.970
1.942 0.681 3.360
-6.824 1.544 3.631
Sm Ho Te
2 1 1
direct
0.000 0.000 0.726 Sm
0.000 0.000 0.274 Sm
0.500 0.500 0.000 Ho
0.500 0.500 0.500 Te

SmHoTe, optimized geometry, DFT PBE; Fermi-level density of states = 2.87 states/eV per cell; formation energy from raw total energies = -0.4882 eV/atom; space-group type = P3m1, No. 156; polymorph energy (0 for the lowest one) = 0.288 eV per atom; magnetic moment = 0.00 μB/cell
1.0
-0.755 2.788 2.821
-3.961 -2.842 1.748
4.745 -0.692 1.955
Ho Sm Te
1 1 1
direct
0.108 0.000 0.000 Ho
0.597 0.667 0.333 Sm
0.296 0.333 0.667 Te

SmHo2Te4, optimized geometry, DFT PBE; Fermi-level density of states = 5.58 states/eV per cell; formation energy from raw total energies = -1.3609 eV/atom; space-group type = Cmcm, No. 63; polymorph energy (0 for the lowest one) = 0.025 eV per atom; magnetic moment = 0.00 μB/cell
1.0
4.268 0.000 0.000
-2.134 7.151 0.000
0.000 0.000 14.946
Te Ho Sm
8 4 2
direct
0.500 0.000 0.000 Te
0.223 0.447 0.880 Te
0.964 0.928 0.750 Te
0.500 0.000 0.500 Te
0.223 0.447 0.620 Te
0.036 0.072 0.250 Te
0.777 0.553 0.380 Te
0.777 0.553 0.120 Te
0.131 0.263 0.069 Ho
0.131 0.263 0.431 Ho
0.869 0.737 0.931 Ho
0.869 0.737 0.569 Ho
0.373 0.746 0.250 Sm
0.627 0.254 0.750 Sm

SmHoTe3, optimized geometry, DFT PBE; Fermi-level density of states = 0.31 states/eV per cell; formation energy from raw total energies = -1.3912 eV/atom; space-group type = Cmcm, No. 63; magnetic moment = 0.00 μB/cell
1.0
-3.541 2.241 0.851
-0.115 -1.501 -7.264
-5.324 -9.162 1.977
Te Ho Sm
6 2 2
direct
0.908 0.816 0.250 Te
0.353 0.706 0.936 Te
0.647 0.294 0.436 Te
0.092 0.184 0.750 Te
0.353 0.706 0.564 Te
0.647 0.294 0.064 Te
0.000 0.000 0.500 Ho
0.000 0.000 0.000 Ho
0.248 0.497 0.250 Sm
0.752 0.503 0.750 Sm

SmHoTe, optimized geometry, DFT PBE; Fermi-level density of states = 2.36 states/eV per cell; formation energy from raw total energies = -0.7763 eV/atom; space-group type = I4mm, No. 107; polymorph energy (0 for the lowest one) = 0.000 eV per atom; magnetic moment = 0.00 μB/cell
1.0
3.899 0.000 0.000
0.000 3.899 0.000
-1.949 -1.949 5.837
Ho Te Sm
1 1 1
direct
0.319 0.319 0.637 Ho
0.673 0.673 0.345 Te
0.009 0.009 0.017 Sm

Sm4HoTe2, optimized geometry, DFT PBE; Fermi-level density of states = 6.28 states/eV per cell; formation energy from raw total energies = -0.5563 eV/atom; space-group type = R-3m, No. 166; magnetic moment = 0.00 μB/cell
1.0
-4.991 2.232 -0.688
-3.448 0.411 4.279
0.534 8.959 3.119
Sm Te Ho
4 2 1
direct
0.867 0.867 0.399 Sm
0.267 0.267 0.199 Sm
0.733 0.733 0.801 Sm
0.133 0.133 0.601 Sm
0.385 0.385 0.844 Te
0.615 0.615 0.156 Te
0.500 0.500 0.500 Ho

SmHoTh2Te5, optimized geometry, DFT PBE; Fermi-level density of states = 8.89 states/eV per cell; formation energy from raw total energies = -0.5538 eV/atom; space-group type = P4/mmm, No. 123; magnetic moment = 0.00 μB/cell
1.0
-2.659 -2.886 3.730
4.684 -1.121 2.472
-1.180 9.613 6.596
Th Te Ho Sm
2 5 1 1
direct
0.500 0.500 0.341 Th
0.500 0.500 0.659 Th
0.000 0.000 0.751 Te
0.000 0.500 0.500 Te
0.000 0.000 0.249 Te
0.500 0.000 0.500 Te
0.500 0.500 0.000 Te
0.000 0.000 0.500 Ho
0.000 0.000 0.000 Sm

Sm3Ho2ThTe6, optimized geometry, DFT PBE; Fermi-level density of states = 7.13 states/eV per cell; formation energy from raw total energies = -1.2720 eV/atom; space-group type = C2/m, No. 12; magnetic moment = 0.00 μB/cell
1.0
-3.280 0.857 -2.747
-5.871 -1.375 6.580
3.288 8.934 2.327
Sm Te Th Ho
3 6 1 2
direct
0.843 0.162 0.686 Sm
0.500 0.500 0.000 Sm
0.157 0.838 0.314 Sm
0.994 0.742 0.988 Te
0.330 0.417 0.660 Te
0.670 0.583 0.340 Te
0.328 0.903 0.656 Te
0.672 0.097 0.344 Te
0.006 0.258 0.012 Te
0.500 0.000 0.000 Th
0.835 0.665 0.670 Ho
0.165 0.335 0.330 Ho

Sm2HoThTe5, optimized geometry, DFT PBE; Fermi-level density of states = 8.55 states/eV per cell; formation energy from raw total energies = -0.6411 eV/atom; space-group type = P4/mmm, No. 123; magnetic moment = 0.47 μB/cell
1.0
-1.768 2.622 -4.483
2.066 -3.990 -3.149
-10.269 -5.825 0.643
Sm Te Th Ho
2 5 1 1
direct
0.500 0.500 0.350 Sm
0.500 0.500 0.650 Sm
0.000 0.000 0.752 Te
0.000 0.500 0.500 Te
0.500 0.000 0.500 Te
0.500 0.500 0.000 Te
0.000 0.000 0.248 Te
0.000 0.000 0.000 Th
0.000 0.000 0.500 Ho

Sm3HoTl4Te8, optimized geometry, DFT PBE; formation energy from raw total energies = -1.0633 eV/atom; space-group type = R-3m, No. 166; magnetic moment = 0.00 μB/cell
1.0
9.007 0.000 0.000
0.000 9.685 0.471
-4.504 -4.500 6.371
Sm Te Tl Ho
3 8 4 1
direct
0.500 0.500 0.500 Sm
0.000 0.500 0.500 Sm
0.500 0.500 0.000 Sm
0.256 0.284 0.020 Te
0.236 0.716 0.472 Te
0.260 0.281 0.521 Te
0.744 0.716 0.980 Te
0.764 0.284 0.528 Te
0.764 0.284 0.020 Te
0.740 0.719 0.479 Te
0.236 0.716 0.980 Te
0.500 0.000 0.000 Tl
0.000 0.000 0.000 Tl
0.500 0.000 0.500 Tl
0.000 0.000 0.500 Tl
0.000 0.500 0.000 Ho

Sm3HoTl3Te8, optimized geometry, DFT PBE; Fermi-level density of states = 6.56 states/eV per cell; formation energy from raw total energies = -1.0592 eV/atom; space-group type = C2/m, No. 12; magnetic moment = 0.00 μB/cell
1.0
8.911 -0.001 -0.001
-4.456 7.726 -0.033
0.000 -5.119 8.195
Te Sm Tl Ho
8 3 3 1
direct
0.237 0.473 0.717 Te
0.740 0.481 0.721 Te
0.260 0.519 0.279 Te
0.237 0.980 0.717 Te
0.763 0.020 0.283 Te
0.763 0.527 0.283 Te
0.256 0.020 0.283 Te
0.744 0.980 0.717 Te
0.500 0.500 0.500 Sm
0.000 0.500 0.500 Sm
0.500 0.000 0.500 Sm
0.000 0.000 0.000 Tl
0.000 0.500 0.000 Tl
0.500 0.500 0.000 Tl
0.000 0.000 0.500 Ho

SmHoTlTe, optimized geometry, DFT PBE; Fermi-level density of states = 1.94 states/eV per cell; formation energy from raw total energies = -0.8213 eV/atom; space-group type = R3m, No. 160; magnetic moment = 0.00 μB/cell
1.0
4.222 0.000 0.000
2.111 3.656 0.000
2.111 1.219 7.883
Ho Te Sm Tl
1 1 1 1
direct
0.001 0.001 0.996 Ho
0.748 0.748 0.757 Te
0.499 0.499 0.503 Sm
0.252 0.252 0.243 Tl

SmHo3Tl4Te8, optimized geometry, DFT PBE; formation energy from raw total energies = -1.0511 eV/atom; space-group type = R-3m, No. 166; magnetic moment = 0.00 μB/cell
1.0
-6.413 -6.188 0.352
2.735 -3.327 -8.660
6.193 0.373 6.406
Ho Tl Te Sm
3 4 8 1
direct
0.500 0.500 0.000 Ho
0.500 0.500 0.500 Ho
0.000 0.500 0.500 Ho
0.500 0.000 0.000 Tl
0.000 0.000 0.500 Tl
0.500 0.000 0.500 Tl
0.000 0.000 0.000 Tl
0.759 0.286 0.519 Te
0.759 0.286 0.026 Te
0.263 0.289 0.526 Te
0.737 0.711 0.474 Te
0.733 0.714 0.974 Te
0.241 0.714 0.974 Te
0.267 0.286 0.026 Te
0.241 0.714 0.481 Te
0.000 0.500 0.000 Sm

Sm2HoTl3Te6, optimized geometry, DFT PBE; formation energy from raw total energies = -1.0615 eV/atom; space-group type = C2/m, No. 12; magnetic moment = 0.00 μB/cell
1.0
-3.383 -3.822 5.881
-2.414 -1.179 -7.309
7.366 -4.398 -0.340
Te Sm Tl Ho
6 2 3 1
direct
0.255 0.255 0.783 Te
0.928 0.601 0.785 Te
0.601 0.928 0.785 Te
0.072 0.399 0.215 Te
0.745 0.745 0.217 Te
0.399 0.072 0.215 Te
0.666 0.334 0.000 Sm
0.334 0.666 0.000 Sm
0.168 0.832 0.500 Tl
0.500 0.500 0.500 Tl
0.832 0.168 0.500 Tl
0.000 0.000 0.000 Ho

SmHo3Tl3Te8, optimized geometry, DFT PBE; Fermi-level density of states = 6.12 states/eV per cell; formation energy from raw total energies = -1.0482 eV/atom; space-group type = C2/m, No. 12; magnetic moment = 0.00 μB/cell
1.0
8.792 -0.001 -0.001
-4.397 7.628 -0.032
0.000 -5.057 8.187
Te Sm Ho Tl
8 1 3 3
direct
0.757 0.514 0.283 Te
0.243 0.974 0.717 Te
0.262 0.524 0.286 Te
0.757 0.026 0.283 Te
0.731 0.974 0.717 Te
0.243 0.486 0.717 Te
0.269 0.026 0.283 Te
0.738 0.476 0.714 Te
0.000 0.000 0.500 Sm
0.500 0.000 0.500 Ho
0.500 0.500 0.500 Ho
0.000 0.500 0.500 Ho
0.000 0.500 0.000 Tl
0.500 0.500 0.000 Tl
0.000 0.000 0.000 Tl